A relaxed MgPtSO crystal, computed with PBE.

## Properties
For the energy above the most stable polymorph in this dataset, the calculation gives 0.163 eV per atom. As for the energy: -5.14 eV/atom.

abc: 5.111 7.264 7.305
angles: 90.00 90.00 90.00
Space group P2_12_12_1 (No. 19)
One atom of each set of equivalent atoms:
Mg: 0.015 0.183 0.122 x4
Pt: 0.142 0.654 0.016 x4
S: 0.230 0.941 0.915 x4
O: 0.233 0.383 0.043 x4

A relaxed MgPtSO crystal, computed with PBE.

## Properties
For the energy above the most stable polymorph in this dataset, the calculation gives 0.000 eV per atom. As for the energy: -5.31 eV/atom.

abc: 6.233 8.111 5.067
angles: 90.00 90.00 90.00
Space group Pca2_1 (No. 29)
One atom of each set of equivalent atoms:
Mg: 0.101 0.095 0.000 x4
Pt: 0.163 0.733 0.072 x4
S: 0.019 0.626 0.688 x4
O: 0.093 0.090 0.608 x4